The following is a DFT calculation (PBEsol) of a geometry-optimized FeAsBr2 structure.

Calculated values
- ΔE_f (raw): -11 meV per atom
- Fermi-level density of states: 3.50 states/eV/cell
- ΔE to the lowest computed polymorph: 0.0000 eV per atom
- Spin magnetization: 3.3 μB/cell

Cell: 3.4208 3.4208 8.0019 Å, 90.00 90.00 90.00°
With the nearest neighbours (Å) after each atom.
Fractional positions:
As1 0.5000 0.5000 0.5892  1 Br 2.34, 4 Fe 2.49
Br1 0.0000 0.0000 0.9486  1 Fe 2.27
Br2 0.5000 0.5000 0.2968  1 As 2.34
Fe1 0.0000 0.0000 0.6655  1 Br 2.27, 4 As 2.49

=====

The following is a DFT calculation (PBEsol) of a geometry-optimized FeAsBr structure.

Calculated values
- ΔE_f (raw): 204 meV per atom
- Fermi-level density of states: 1.41 states/eV/cell
- Spin magnetization: 2.1 μB/cell

Cell: 2.9955 2.9955 6.4548 Å, 103.35 103.35 90.29°
With the nearest neighbours (Å) after each atom.
Fractional positions:
As1 0.9562 0.9562 0.9123  4 Fe 2.56
Br1 0.7055 0.7055 0.4110  4 Fe 2.66-2.67
Fe1 0.3383 0.3383 0.6767  4 As 2.56, 4 Br 2.66-2.67

=====

The following is a DFT calculation (PBEsol) of a geometry-optimized NaFeAs2Br structure.

Calculated values
- ΔE_f (raw): -119 meV per atom
- Fermi-level density of states: 2.50 states/eV/cell
- Spin magnetization: 1.5 μB/cell

Cell: 4.3841 4.3841 6.2239 Å, 90.00 90.00 90.00°
With the nearest neighbours (Å) after each atom.
Fractional positions:
Na1 0.5000 0.5000 0.5000  4 Br 3.10
As1 0.0000 0.5000 0.0000  2 Fe 2.19
As2 0.5000 0.0000 0.0000  2 Fe 2.19
Fe1 0.0000 0.0000 0.0000  4 As 2.19
Br1 0.0000 0.0000 0.5000  4 Na 3.10, 2 Fe 3.11

=====

The following is a DFT calculation (PBEsol) of a geometry-optimized FeNiAsBr2 structure.

Calculated values
- ΔE_f (raw): 782 meV per atom
- Fermi-level density of states: 9.90 states/eV/cell
- Spin magnetization: 1.8 μB/cell

Cell: 4.3589 4.8613 4.8613 Å, 90.00 90.00 90.00°
With the nearest neighbours (Å) after each atom.
Fractional positions:
Ni1 0.5000 0.5000 0.5000  8 Br 3.26, 4 As 3.44
As1 0.5000 0.0000 0.0000  2 Fe 2.18
Fe1 0.0000 0.0000 0.0000  2 As 2.18, 4 Br 2.43
Br1 0.0000 0.0000 0.5000  2 Fe 2.43
Br2 0.0000 0.5000 0.0000  2 Fe 2.43

=====

The following is a DFT calculation (PBEsol) of a geometry-optimized FeAs2PBr structure.

Calculated values
- ΔE_f (raw): 659 meV per atom
- Fermi-level density of states: 4.25 states/eV/cell
- ΔE to the lowest computed polymorph: 0.0000 eV per atom
- Spin magnetization: 0.0 μB/cell

Cell: 4.4036 4.4036 4.9190 Å, 90.00 90.00 90.00°
With the nearest neighbours (Å) after each atom.
Fractional positions:
P1 0.5000 0.5000 0.5000  4 Br 3.11, 8 As 3.30
As1 0.0000 0.5000 0.0000  2 Fe 2.20
As2 0.5000 0.0000 0.0000  2 Fe 2.20
Fe1 0.0000 0.0000 0.0000  4 As 2.20, 2 Br 2.46
Br1 0.0000 0.0000 0.5000  2 Fe 2.46

=====

The following is a DFT calculation (PBEsol) of a geometry-optimized FeAs2PBr structure.

Calculated values
- ΔE_f (raw): 1058 meV per atom
- Fermi-level density of states: 6.73 states/eV/cell
- ΔE to the lowest computed polymorph: 0.3989 eV per atom
- Spin magnetization: 3.7 μB/cell

Cell: 4.7382 4.7382 4.8183 Å, 90.00 90.00 90.00°
With the nearest neighbours (Å) after each atom.
Fractional positions:
P1 0.0000 0.0000 0.0000  4 As 2.37, 2 Br 2.41
As1 0.0000 0.5000 0.0000  2 P 2.37
As2 0.5000 0.0000 0.0000  2 P 2.37
Fe1 0.5000 0.5000 0.5000  4 Br 3.35, 8 As 3.38
Br1 0.0000 0.0000 0.5000  2 P 2.41